# 1
Crystalline RePtSe2 at its relaxed geometry. Source: the Alexandria database, functional PBE-GGA.

Symmetry ... P4mm (99)
Energy above the lowest structure with this stoichiometry ... 38 meV per atom
M_tot ... 0.00 μB per formula unit
Volume ... 78.29 Å³ per cell
E_form (uncorrected) ... 0.13 eV per atom
VASP energy ... -24.954 eV for the cell shown

Cell: 2.931 2.931 9.112 Å, 90.00 90.00 90.00°
Fractional coordinates of all 4 atoms:
Se 0.000 0.000 0.910
Pt 0.000 0.000 0.539
Se 0.500 0.500 0.311
Re 0.500 0.500 0.740

***

# 2
Crystalline Be2Se at its relaxed geometry. Source: the Alexandria database, functional PBE-GGA.

Symmetry ... I4/mcm (140)
Energy above the lowest structure with this stoichiometry ... 516 meV per atom
M_tot ... 0.00 μB per formula unit
Volume ... 78.45 Å³ per cell
E_form (uncorrected) ... 0.23 eV per atom
VASP energy ... -20.517 eV for the cell shown

Cell: 4.822 4.822 4.822 Å, 120.67 120.67 88.84°
Fractional coordinates of all 6 atoms:
Be 0.676 0.824 0.500
Se 0.750 0.750 0.000
Be 0.176 0.676 0.853
Be 0.824 0.324 0.147
Se 0.250 0.250 0.000
Be 0.324 0.176 0.500

***

# 3
Crystalline SrUHgI6 at its relaxed geometry. Source: the Alexandria database, functional PBE-GGA.

Symmetry ... P-31c (163)
M_tot ... 2.00 μB per formula unit
Volume ... 1067.70 Å³ per cell
E_form (uncorrected) ... -1.01 eV per atom
VASP energy ... -63.273 eV for the cell shown

Cell: 8.111 8.111 18.738 Å, 90.00 90.00 120.00°
Last column: magnetic moment on the atom in μB.
Fractional coordinates of all 18 atoms:
I 0.974 0.344 0.155  -0.03
I 0.026 0.656 0.845  -0.03
Sr 0.667 0.333 0.750  0.00
Hg 0.000 0.000 0.500  -0.01
I 0.656 0.630 0.155  -0.03
I 0.370 0.026 0.155  -0.03
Sr 0.333 0.667 0.250  0.00
Hg 0.000 0.000 0.000  -0.01
I 0.974 0.630 0.345  -0.03
I 0.026 0.370 0.655  -0.03
I 0.656 0.026 0.345  -0.03
I 0.370 0.344 0.345  -0.03
U 0.333 0.667 0.750  2.15
I 0.344 0.974 0.655  -0.03
U 0.667 0.333 0.250  2.15
I 0.630 0.974 0.845  -0.03
I 0.344 0.370 0.845  -0.03
I 0.630 0.656 0.655  -0.03

***

# 4
Crystalline Pr4RhO7 at its relaxed geometry. Source: the Alexandria database, functional PBE-GGA.

Symmetry ... C2/m (12)
M_tot ... 0.00 μB per formula unit
Volume ... 184.70 Å³ per cell
E_form (uncorrected) ... -2.82 eV per atom
VASP energy ... -94.963 eV for the cell shown

Cell: 3.938 7.046 7.210 Å, 83.97 74.15 73.78°
Fractional coordinates of all 12 atoms:
Pr 0.413 0.778 0.395
Pr 0.587 0.222 0.605
O 0.373 0.566 0.688
O 0.207 0.145 0.440
O 0.627 0.434 0.312
Pr 0.749 0.660 0.841
Pr 0.251 0.340 0.159
O 0.094 0.707 0.105
O 0.906 0.293 0.895
Rh 0.000 0.000 0.000
O 0.500 0.000 0.000
O 0.793 0.855 0.560

***

# 5
Crystalline CoB2Mo at its relaxed geometry. Source: the Alexandria database, functional PBE-GGA.

Symmetry ... P2_1/m (11)
Energy above the lowest structure with this stoichiometry ... 0 meV per atom
M_tot ... 0.00 μB per formula unit
Volume ... 74.33 Å³ per cell
VASP energy ... -65.386 eV for the cell shown
Energy relative to the elements ... -0.350 eV per atom

Cell: 3.026 3.705 6.692 Å, 97.83 90.00 90.00°
Fractional coordinates of all 8 atoms:
Mo 0.750 0.460 0.822
Co 0.750 0.098 0.369
B 0.750 0.623 0.476
B 0.250 0.377 0.524
B 0.750 0.017 0.067
Mo 0.250 0.540 0.178
B 0.250 0.983 0.933
Co 0.250 0.902 0.631

***

# 6
Crystalline Ti3AgOs at its relaxed geometry. Source: the Alexandria database, functional PBE-GGA.

Symmetry ... Pm-3m (221)
Energy above the lowest structure with this stoichiometry ... 0 meV per atom
M_tot ... 1.72 μB per formula unit
Volume ... 107.41 Å³ per cell
VASP energy ... -35.295 eV for the cell shown
Energy relative to the elements ... 0.494 eV per atom

Cell: 4.754 4.754 4.754 Å, 90.00 90.00 90.00°
Last column: magnetic moment on the atom in μB.
Fractional coordinates of all 5 atoms:
Ag 0.500 0.500 0.500  0.01
Ti 0.000 0.500 0.000  0.43
Os 0.000 0.000 0.000  -0.12
Ti 0.500 0.000 0.000  0.73
Ti 0.000 0.000 0.500  0.25